(1)
# YHgP

A relaxed structure of YHgP (GGA-PBE, Alexandria via LeMat-Bulk).

a b c (Å): 4.7238 4.7238 6.8889
angles (deg): 90.00 90.00 120.00
Space group P6_3/mmc (No. 194)
Unique sites:
Y 0.0000 0.0000 0.0000 (multiplicity 2)
Hg 0.3333 0.6667 0.2500 (multiplicity 2)
P 0.3333 0.6667 0.7500 (multiplicity 2)

Calculated values
For the electronic total energy, the calculation gives -4.43 eV/atom. The calculation puts the size of the total moment at 0.0000 μB/atom. Its density of states at the Fermi level is 4.1 states/eV/cell. The calculation puts the volume at 133.1 Å³ per cell. The calculation puts the energy above the lowest structure with this stoichiometry at 0.336 eV per atom. Its energy of formation from the pure elements is -373.8 meV per atom.

---

(2)
# YHgP2

A relaxed structure of YHgP2 (GGA-PBE, Alexandria via LeMat-Bulk).

a b c (Å): 3.6752 3.9265 6.6821
angles (deg): 90.00 90.21 90.00
Space group P2/m (No. 10)
Unique sites:
Y 0.0000 0.0000 0.0000 (multiplicity 1)
Hg 0.0000 0.0000 0.5000 (multiplicity 1)
P 0.5003 0.5000 0.1642 (multiplicity 2)

Calculated values
For the electronic total energy, the calculation gives -4.98 eV/atom. The calculation puts the size of the total moment at 0.0000 μB/atom. Its density of states at the Fermi level is 1.4 states/eV/cell. The calculation puts the volume at 96.4 Å³ per cell. Its energy of formation from the pure elements is -579.5 meV per atom.

---

(3)
# YHgP

A relaxed structure of YHgP (GGA-PBE, Alexandria via LeMat-Bulk).

a b c (Å): 4.1104 4.1104 5.0349
angles (deg): 90.00 90.00 120.00
Space group P3m1 (No. 156)
Unique sites:
Y 0.0000 0.0000 0.0000 (multiplicity 1)
Hg 0.6667 0.3333 0.4232 (multiplicity 1)
P 0.3333 0.6667 0.7274 (multiplicity 1)

Calculated values
For the electronic total energy, the calculation gives -4.77 eV/atom. The calculation puts the size of the total moment at 0.0000 μB/atom. The calculation puts the volume at 73.7 Å³ per cell. The calculation puts the energy above the lowest structure with this stoichiometry at 0.000 eV per atom. Its energy of formation from the pure elements is -710.0 meV per atom.

---

(4)
# YHgP2

A relaxed structure of YHgP2 (GGA-PBE, Alexandria via LeMat-Bulk).

a b c (Å): 10.1685 3.3607 5.6075
angles (deg): 90.00 95.53 90.00
Space group C2/m (No. 12)
Unique sites:
Y 0.0000 0.0000 0.0000 (multiplicity 2)
Hg 0.0000 0.5000 0.5000 (multiplicity 2)
P 0.2387 0.5000 0.1315 (multiplicity 4)

Calculated values
For the electronic total energy, the calculation gives -4.83 eV/atom. The calculation puts the size of the total moment at 0.0000 μB/atom. Its density of states at the Fermi level is 2.2 states/eV/cell. The calculation puts the volume at 190.7 Å³ per cell. Its energy of formation from the pure elements is -437.1 meV per atom.

---

(5)
# YHgP2

A relaxed structure of YHgP2 (GGA-PBE, Alexandria via LeMat-Bulk).

a b c (Å): 4.2339 4.2339 17.3598
angles (deg): 90.00 90.00 120.00
Space group R3m (No. 160, hexagonal axes)
Unique sites:
Y 0.0000 0.0000 0.0000 (multiplicity 3)
Hg 0.0000 0.0000 0.2077 (multiplicity 3)
P 0.0000 0.0000 0.4262 (multiplicity 3)
P 0.0000 0.0000 0.7551 (multiplicity 3)

Calculated values
For the electronic total energy, the calculation gives -4.66 eV/atom. The calculation puts the size of the total moment at 0.0000 μB/atom. Its density of states at the Fermi level is 3.5 states/eV/cell. The calculation puts the volume at 269.5 Å³ per cell. Its energy of formation from the pure elements is -260.9 meV per atom.

---

(6)
# Y2HgP

A relaxed structure of Y2HgP (GGA-PBE, Alexandria via LeMat-Bulk).

a b c (Å): 7.6685 7.6685 7.3104
angles (deg): 90.00 90.00 90.00
Space group I-42d (No. 122)
Unique sites:
Y 0.2206 0.2500 0.1250 (multiplicity 8)
Hg 0.0000 0.0000 0.5000 (multiplicity 4)
P 0.0000 0.0000 0.0000 (multiplicity 4)

Calculated values
For the electronic total energy, the calculation gives -5.32 eV/atom. The calculation puts the size of the total moment at 0.0000 μB/atom. Its density of states at the Fermi level is 10.1 states/eV/cell. The calculation puts the volume at 429.9 Å³ per cell. The calculation puts the energy above the lowest structure with this stoichiometry at 0.358 eV per atom. Its energy of formation from the pure elements is -661.1 meV per atom.

---

(7)
# YHgP2

A relaxed structure of YHgP2 (GGA-PBE, Alexandria via LeMat-Bulk).

a b c (Å): 7.2386 7.2386 6.6901
angles (deg): 90.00 90.00 90.00
Space group I-42d (No. 122)
Unique sites:
Y 0.0000 0.0000 0.0000 (multiplicity 4)
Hg 0.0000 0.0000 0.5000 (multiplicity 4)
P 0.2250 0.2500 0.6250 (multiplicity 8)

Calculated values
For the electronic total energy, the calculation gives -4.70 eV/atom. The calculation puts the size of the total moment at 0.0000 μB/atom. Its density of states at the Fermi level is 5.3 states/eV/cell. The calculation puts the volume at 350.5 Å³ per cell. Its energy of formation from the pure elements is -306.9 meV per atom.

---

(8)
# YHg3P

A relaxed structure of YHg3P (GGA-PBE, Alexandria via LeMat-Bulk).

a b c (Å): 5.8847 5.8847 5.8847
angles (deg): 90.00 90.00 90.00
Space group Pm-3m (No. 221)
Unique sites:
Y 0.0000 0.0000 0.0000 (multiplicity 1)
Hg 0.0000 0.0000 0.5000 (multiplicity 3)
P 0.5000 0.5000 0.5000 (multiplicity 1)

Calculated values
For the electronic total energy, the calculation gives -1.72 eV/atom. The calculation puts the size of the total moment at 0.2486 μB/atom. Its density of states at the Fermi level is 7.0 states/eV/cell. The calculation puts the volume at 203.8 Å³ per cell. The calculation puts the energy above the lowest structure with this stoichiometry at 0.551 eV per atom. Its energy of formation from the pure elements is 831.1 meV per atom.

---

What is the energy of formation from the pure elements in the third record?
-710.0 meV per atom

---

Which of these has the highest electronic total energy?
YHg3P

---

electronic total energy of number 8 (YHg3P)?
-1.72 eV/atom

---

energy of formation from the pure elements of number 3 (YHgP)?
-710.0 meV per atom